Below is an optimized crystal structure of CaTbTmCd, with properties calculated at the PBE level.

Calculated values
- Symmetry: F-43m (216)
- V: 29.7 Å³ per atom
- Density: 6.72 g cm⁻³
- Uncorrected energy: -2.995 eV/atom

Cell and atoms, written as POSCAR:
```
CaTbTmCd
1.0
5.515 0.000 0.000
2.758 4.776 0.000
2.758 1.592 4.503
Cd Tb Ca Tm
1 1 1 1
Direct
0.750 0.750 0.750
0.500 0.500 0.500
0.000 0.000 0.000
0.250 0.250 0.250
```